# Be2FeCoF GGA+U relaxed
# theoretical density: 3.33 g cm⁻³
# D(E_F): 3.96 states/eV/cell
# V: 75.7 Å³ per cell
# energy: -3.29 eV/atom
data_Be2FeCoF
_space_group_name_H-M_alt 'P 1'
_space_group_IT_number 1
_space_group_name_Hall 'P 1'
_cell_length_a 4.4846
_cell_length_b 4.4846
_cell_length_c 3.7642
_cell_angle_alpha 90.00
_cell_angle_beta 90.00
_cell_angle_gamma 90.00
loop_
_atom_site_label
_atom_site_fract_x
_atom_site_fract_y
_atom_site_fract_z
_atom_site_occupancy
Be1 0.0000 0.5000 0.0000 1
Be2 0.5000 0.0000 0.0000 1
Fe1 0.0000 0.0000 0.0000 1
Co1 0.5000 0.5000 0.5000 1
F1 0.0000 0.0000 0.5000 1